GeW2F | PBE+U | relaxed

## Properties
The value obtained for the density is 12.90 g cm⁻³. The calculation puts the total energy at -4.57 eV/atom. As for the space group: Fm-3m, No. 225. The value obtained for the polymorph energy (0 for the lowest one) is 46.5 meV/atom. The value obtained for the magnetic moment is 0.9 μB per formula unit.

Structure (CIF):
```
data_GeW2F
_chemical_formula_sum 'Ge4 W8 F4'
_symmetry_space_group_name_H-M 'P 1'
_symmetry_Int_Tables_number 1
_cell_length_a 6.184
_cell_length_b 6.184
_cell_length_c 6.184
_cell_angle_alpha 90.00
_cell_angle_beta 90.00
_cell_angle_gamma 90.00
loop_
_symmetry_equiv_pos_as_xyz
'x,y,z'
loop_
_atom_site_label
_atom_site_fract_x
_atom_site_fract_y
_atom_site_fract_z
Ge1 0.000 0.000 0.000
Ge2 0.000 0.500 0.500
Ge3 0.500 0.000 0.500
Ge4 0.500 0.500 0.000
W1 0.250 0.250 0.250
W2 0.250 0.250 0.750
W3 0.250 0.750 0.250
W4 0.250 0.750 0.750
W5 0.750 0.250 0.250
W6 0.750 0.250 0.750
W7 0.750 0.750 0.250
W8 0.750 0.750 0.750
F1 0.000 0.000 0.500
F2 0.000 0.500 0.000
F3 0.500 0.000 0.000
F4 0.500 0.500 0.500
```